Computed, not measured: a relaxed Tb3Pr8Nd3 crystal at the PBE level of DFT.

* N(E_F): 17.62 states/eV/cell

Cell: 9.958 9.958 9.958 Å, 146.32 112.86 77.25°
Sites, in units of the cell vectors:
Tb: 0.000 0.000 0.000
Tb: 0.182 0.682 0.500
Tb: 0.818 0.318 0.500
Pr: 0.118 0.275 0.843
Pr: 0.233 0.896 0.337
Pr: 0.433 0.275 0.157
Pr: 0.441 0.104 0.337
Pr: 0.559 0.896 0.663
Pr: 0.567 0.725 0.843
Pr: 0.767 0.104 0.663
Pr: 0.882 0.725 0.157
Nd: 0.193 0.500 0.693
Nd: 0.500 0.500 0.000
Nd: 0.807 0.500 0.307

---

Computed, not measured: a relaxed TbPr4Nd crystal at the PBE level of DFT.

* N(E_F): 11.90 states/eV/cell
* relative energy among the computed polymorphs: 0.1557 eV/atom

Cell: 6.236 6.236 11.794 Å, 118.30 118.30 32.80°
Sites, in units of the cell vectors:
Tb: 0.000 0.000 0.000
Pr: 0.186 0.186 0.342
Pr: 0.189 0.189 0.845
Pr: 0.811 0.811 0.155
Pr: 0.814 0.814 0.658
Nd: 0.000 0.000 0.500

---

Computed, not measured: a relaxed Tb7Pr2Nd3 crystal at the PBE level of DFT.

* N(E_F): 14.47 states/eV/cell
* relative energy among the computed polymorphs: 0.0023 eV/atom

Cell: 5.898 3.618 19.064 Å, 90.00 93.19 90.00°
Sites, in units of the cell vectors:
Tb: 0.000 0.000 0.000
Tb: 0.190 0.500 0.172
Tb: 0.257 0.500 0.538
Tb: 0.312 0.000 0.858
Tb: 0.688 0.000 0.142
Tb: 0.743 0.500 0.462
Tb: 0.810 0.500 0.828
Pr: 0.289 0.500 0.707
Pr: 0.711 0.500 0.293
Nd: 0.223 0.000 0.369
Nd: 0.500 0.500 0.000
Nd: 0.777 0.000 0.631

---

Computed, not measured: a relaxed Tb4Pr2Nd crystal at the PBE level of DFT.

* N(E_F): 18.82 states/eV/cell
* relative energy among the computed polymorphs: 0.0000 eV/atom

Cell: 6.947 7.070 10.480 Å, 90.00 90.00 73.29°
Sites, in units of the cell vectors:
Tb: 0.229 0.310 0.217
Tb: 0.230 0.310 0.783
Tb: 0.230 0.811 0.281
Tb: 0.231 0.810 0.719
Tb: 0.769 0.190 0.281
Tb: 0.770 0.189 0.719
Tb: 0.770 0.690 0.217
Tb: 0.771 0.690 0.783
Pr: 0.000 0.500 0.500
Pr: 0.500 0.000 0.500
Pr: 0.500 0.500 0.000
Pr: 0.500 0.500 0.500
Nd: 0.000 0.000 0.000
Nd: 0.500 0.000 0.000

---

Size of the total moment (computed, μB/atom): 0.000; 0.000; 0.000; 0.000
E_form (computed, eV per atom): 0.109; 0.170; 0.083; 0.201